# 1
Compound: Li5In2Ag4
Source: Alexandria via LeMat-Bulk
Functional: PBE-GGA
Structure: relaxed

Cell: 5.4235 5.4235 7.5519 Å, 102.56 102.56 67.14°
Element x y z (fractional)
Li  0.0000  0.0000  0.0000
Li  0.2001  0.6481  0.7140
Li  0.3519  0.7999  0.2860
Li  0.6481  0.2001  0.7140
Li  0.7999  0.3519  0.2860
In  0.1469  0.1469  0.6442
In  0.8531  0.8531  0.3558
Ag  0.3349  0.3349  0.3820
Ag  0.3386  0.3386  0.0102
Ag  0.6614  0.6614  0.9898
Ag  0.6651  0.6651  0.6180

SG: C2/m (12)
ΔE to the lowest computed polymorph: 0.000 eV/atom
DFT total energy: -2.55 eV/atom

=====

# 2
Compound: NiPd7Pt3
Source: Alexandria via LeMat-Bulk
Functional: PBE-GGA
Structure: relaxed

Cell: 5.5038 5.5038 6.6940 Å, 90.00 90.00 120.00°
Element x y z (fractional)
Ni  0.0000  0.0000  0.0000
Pd  0.3333  0.6667  0.6510
Pd  0.3336  0.1668  0.6571
Pd  0.5020  0.0040  0.9936
Pd  0.5020  0.4980  0.9936
Pd  0.8332  0.1668  0.6571
Pd  0.8332  0.6664  0.6571
Pd  0.9960  0.4980  0.9936
Pt  0.1650  0.3300  0.3191
Pt  0.1650  0.8350  0.3191
Pt  0.6700  0.8350  0.3191

SG: P3m1 (156)
DFT total energy: -5.41 eV/atom

=====

Computed values of E_form (unit: eV/atom) for the preceding records, in sequence: -0.1447; 0.0703.
Computed values of N(E_F) (unit: states/eV/atom) for the preceding records, in sequence: 0.253; 1.684.